This record from Alexandria via LeMat-Bulk describes a relaxed structure of AcEuGePt. The functional is GGA-PBE.

Cell lengths 5.3183, 5.3183, 5.3183 Å; angles 60.00, 60.00, 60.00 degrees
Each line ends with the local moment (μB).
Sites, in units of the cell vectors:
Ge 0.2500 0.2500 0.2500  -0.05
Ac 0.5000 0.5000 0.5000  -0.01
Eu 0.0000 0.0000 0.0000  6.76
Pt 0.7500 0.7500 0.7500  -0.06

Values from the calculation:
energy relative to the elements: -745 meV per atom
density: 10.1 Mg/m³
DOS(E_F): 10.71 states/eV/f.u.

***

This record from Alexandria via LeMat-Bulk describes a relaxed structure of AcEuPuGe. The functional is GGA-PBE.

Cell lengths 5.4737, 5.4737, 5.4737 Å; angles 60.00, 60.00, 60.00 degrees
Each line ends with the local moment (μB).
Sites, in units of the cell vectors:
Pu 0.0000 0.0000 0.0000  -5.70
Ac 0.7500 0.7500 0.7500  -0.28
Ge 0.2500 0.2500 0.2500  0.03
Eu 0.5000 0.5000 0.5000  6.68

Values from the calculation:
energy relative to the elements: 141 meV per atom
density: 10.0 Mg/m³
DOS(E_F): 16.05 states/eV/f.u.

***

This record from Alexandria via LeMat-Bulk describes a relaxed structure of AcEuGeSb. The functional is GGA-PBE.

Cell lengths 5.5704, 5.5704, 5.5704 Å; angles 60.00, 60.00, 60.00 degrees
Each line ends with the local moment (μB).
Sites, in units of the cell vectors:
Ac 0.0000 0.0000 0.0000  0.01
Ge 0.2500 0.2500 0.2500  -0.01
Eu 0.5000 0.5000 0.5000  6.81
Sb 0.7500 0.7500 0.7500  -0.02

Values from the calculation:
ΔE_f (raw): -661 meV per atom
density: 7.8 Mg/m³
DOS(E_F): 4.01 states/eV/f.u.

***

This record from Alexandria via LeMat-Bulk describes a relaxed structure of AcEuSnGe. The functional is GGA-PBE.

Cell lengths 5.5610, 5.5610, 5.5610 Å; angles 60.00, 60.00, 60.00 degrees
Each line ends with the local moment (μB).
Sites, in units of the cell vectors:
Sn 0.2500 0.2500 0.2500  0.00
Ac 0.0000 0.0000 0.0000  0.03
Ge 0.7500 0.7500 0.7500  0.00
Eu 0.5000 0.5000 0.5000  6.84

Values from the calculation:
energy relative to the elements: -540 meV per atom
density: 7.8 Mg/m³
DOS(E_F): 8.20 states/eV/f.u.

***

This record from Alexandria via LeMat-Bulk describes a relaxed structure of AcEuZnGe. The functional is GGA-PBE.

Cell lengths 5.4125, 5.4125, 5.4125 Å; angles 60.00, 60.00, 60.00 degrees
Each line ends with the local moment (μB).
Sites, in units of the cell vectors:
Ge 0.2500 0.2500 0.2500  -0.05
Eu 0.0000 0.0000 0.0000  6.90
Ac 0.5000 0.5000 0.5000  0.12
Zn 0.7500 0.7500 0.7500  0.05

Values from the calculation:
energy relative to the elements: -449 meV per atom
density: 7.7 Mg/m³
DOS(E_F): 2.74 states/eV/f.u.

***

This record from Alexandria via LeMat-Bulk describes a relaxed structure of AcEuHN. The functional is GGA-PBE.

Cell lengths 4.5850, 4.5850, 4.5850 Å; angles 60.00, 60.00, 60.00 degrees
Each line ends with the local moment (μB).
Sites, in units of the cell vectors:
N 0.2500 0.2500 0.2500  -0.07
Eu 0.5000 0.5000 0.5000  7.02
H 0.7500 0.7500 0.7500  -0.01
Ac 0.0000 0.0000 0.0000  0.22

Values from the calculation:
density: 9.6 Mg/m³
DOS(E_F): 1.74 states/eV/f.u.
VASP energy: -6.834 eV per atom

***

This record from Alexandria via LeMat-Bulk describes a relaxed structure of AcEuSbH. The functional is GGA-PBE.

Cell lengths 5.4249, 5.4249, 5.4249 Å; angles 60.00, 60.00, 60.00 degrees
Each line ends with the local moment (μB).
Sites, in units of the cell vectors:
Sb 0.2500 0.2500 0.2500  -0.05
Eu 0.0000 0.0000 0.0000  7.01
Ac 0.5000 0.5000 0.5000  0.20
H 0.7500 0.7500 0.7500  -0.02

Values from the calculation:
density: 7.4 Mg/m³
DOS(E_F): 1.95 states/eV/f.u.
VASP energy: -5.977 eV per atom

***

This record from Alexandria via LeMat-Bulk describes a relaxed structure of AcEuHg4. The functional is GGA-PBE.

Cell lengths 6.1953, 6.1953, 6.1953 Å; angles 60.00, 60.00, 60.00 degrees
Each line ends with the local moment (μB).
Sites, in units of the cell vectors:
Hg 0.6253 0.6253 0.1242  0.01
Hg 0.1242 0.6253 0.6253  0.01
Hg 0.6253 0.6253 0.6253  0.01
Hg 0.6253 0.1242 0.6253  0.01
Ac 0.2500 0.2500 0.2500  0.05
Eu 0.0000 0.0000 0.0000  6.91

Values from the calculation:
energy relative to the elements: -333 meV per atom
density: 11.7 Mg/m³
DOS(E_F): 8.66 states/eV/f.u.

***

This record from Alexandria via LeMat-Bulk describes a relaxed structure of AcEuHg. The functional is GGA-PBE.

Cell lengths 5.5038, 5.5038, 5.5038 Å; angles 60.00, 60.00, 60.00 degrees
Each line ends with the local moment (μB).
Sites, in units of the cell vectors:
Eu 0.0000 0.0000 0.0000  -6.92
Hg 0.2500 0.2500 0.2500  -0.01
Ac 0.5000 0.5000 0.5000  -0.06

Values from the calculation:
energy above the most stable polymorph in this dataset: 0.369 eV per formula unit
energy relative to the elements: -200 meV per atom
density: 8.2 Mg/m³
DOS(E_F): 5.73 states/eV/f.u.

***

This record from Alexandria via LeMat-Bulk describes a relaxed structure of AcEuHg. The functional is GGA-PBE.

Cell lengths 3.9692, 3.9692, 7.3892 Å; angles 105.58, 105.58, 90.00 degrees
Each line ends with the local moment (μB).
Sites, in units of the cell vectors:
Hg 0.6611 0.6611 0.3221  0.00
Eu 0.0276 0.0276 0.0552  6.89
Ac 0.3113 0.3113 0.6227  0.07

Values from the calculation:
energy above the most stable polymorph in this dataset: 0.000 eV per formula unit
energy relative to the elements: -323 meV per atom
density: 8.9 Mg/m³
DOS(E_F): 2.97 states/eV/f.u.

***

This record from Alexandria via LeMat-Bulk describes a relaxed structure of AcEuHg. The functional is GGA-PBE.

Cell lengths 4.1043, 5.4668, 5.4668 Å; angles 120.00, 90.00, 90.00 degrees
Each line ends with the local moment (μB).
Sites, in units of the cell vectors:
Ac 0.0333 0.0000 0.0000  -0.04
Hg 0.4046 0.3333 0.6667  -0.01
Eu 0.5620 0.6667 0.3333  -6.88

Values from the calculation:
energy above the most stable polymorph in this dataset: 0.361 eV per formula unit
energy relative to the elements: -202 meV per atom
density: 9.1 Mg/m³
DOS(E_F): 3.22 states/eV/f.u.

***

This record from Alexandria via LeMat-Bulk describes a relaxed structure of LiAcEuHg. The functional is GGA-PBE.

Cell lengths 5.6318, 5.6318, 5.6318 Å; angles 60.00, 60.00, 60.00 degrees
Each line ends with the local moment (μB).
Sites, in units of the cell vectors:
Li 0.7500 0.7500 0.7500  0.01
Hg 0.2500 0.2500 0.2500  0.00
Eu 0.5000 0.5000 0.5000  6.88
Ac 0.0000 0.0000 0.0000  0.01

Values from the calculation:
energy relative to the elements: -230 meV per atom
density: 7.7 Mg/m³
DOS(E_F): 9.81 states/eV/f.u.

***

This record from Alexandria via LeMat-Bulk describes a relaxed structure of AcEuLuHg. The functional is GGA-PBE.

Cell lengths 5.6633, 5.6633, 5.6633 Å; angles 60.00, 60.00, 60.00 degrees
Each line ends with the local moment (μB).
Sites, in units of the cell vectors:
Hg 0.2500 0.2500 0.2500  0.01
Lu 0.5000 0.5000 0.5000  -0.15
Ac 0.7500 0.7500 0.7500  -0.14
Eu 0.0000 0.0000 0.0000  -6.89

Values from the calculation:
energy relative to the elements: 66 meV per atom
density: 9.8 Mg/m³
DOS(E_F): 6.54 states/eV/f.u.

***

This record from Alexandria via LeMat-Bulk describes a relaxed structure of NaAcEuHg. The functional is GGA-PBE.

Cell lengths 5.7646, 5.7646, 5.7646 Å; angles 60.00, 60.00, 60.00 degrees
Each line ends with the local moment (μB).
Sites, in units of the cell vectors:
Na 0.0000 0.0000 0.0000  0.00
Hg 0.5000 0.5000 0.5000  0.00
Eu 0.7500 0.7500 0.7500  -6.90
Ac 0.2500 0.2500 0.2500  -0.01

Values from the calculation:
energy relative to the elements: -142 meV per atom
density: 7.4 Mg/m³
DOS(E_F): 9.82 states/eV/f.u.

***

This record from Alexandria via LeMat-Bulk describes a relaxed structure of AcNdEuHg. The functional is GGA-PBE.

Cell lengths 5.7416, 5.7416, 5.7416 Å; angles 60.00, 60.00, 60.00 degrees
Each line ends with the local moment (μB).
Sites, in units of the cell vectors:
Ac 0.0000 0.0000 0.0000  0.26
Nd 0.2500 0.2500 0.2500  0.26
Hg 0.5000 0.5000 0.5000  0.00
Eu 0.7500 0.7500 0.7500  6.97

Values from the calculation:
energy relative to the elements: 13 meV per atom
density: 9.0 Mg/m³
DOS(E_F): 6.46 states/eV/f.u.

***

This record from Alexandria via LeMat-Bulk describes a relaxed structure of AcEuNiHg. The functional is GGA-PBE.

Cell lengths 5.3948, 5.3948, 5.3948 Å; angles 60.00, 60.00, 60.00 degrees
Each line ends with the local moment (μB).
Sites, in units of the cell vectors:
Ni 0.2500 0.2500 0.2500  -0.10
Hg 0.7500 0.7500 0.7500  0.00
Eu 0.0000 0.0000 0.0000  6.83
Ac 0.5000 0.5000 0.5000  0.01

Values from the calculation:
energy relative to the elements: -231 meV per atom
density: 9.5 Mg/m³
DOS(E_F): 10.54 states/eV/f.u.